Entry 1:
# Ba2RuRh3O12, optimized geometry, DFT PBE
# Crystal system = trigonal
# Energy relative to the elements, uncorrected = -1.149 eV per atom
# Calculated volume = 767 Å³/cell
data_Ba2RuRh3O12
_chemical_formula_sum 'Ba6 Ru3 Rh9 O36'
_cell_length_a 7.0581
_cell_length_b 7.0581
_cell_length_c 17.7894
_cell_angle_alpha 90.00
_cell_angle_beta 90.00
_cell_angle_gamma 120.00
_symmetry_space_group_name_H-M 'R -3 m'
_symmetry_Int_Tables_number 166
_symmetry_space_group_name_Hall '-R 3 2"'
loop_
_atom_site_label
_atom_site_fract_x
_atom_site_fract_y
_atom_site_fract_z
Ba1 0.0000 0.0000 0.1228
Ru1 0.0000 0.0000 0.5000
Rh1 0.0000 0.5000 0.0000
O1 0.0586 0.5293 0.3628
O2 0.0696 0.5348 0.1090

---

Entry 2:
# Nd6Si2SeCl3, optimized geometry, DFT PBE
# Crystal system = monoclinic
# Energy relative to the elements, uncorrected = -1.340 eV per atom
# Calculated volume = 643 Å³/cell
data_Nd6Si2SeCl3
_chemical_formula_sum 'Nd12 Si4 Se2 Cl6'
_cell_length_a 18.4482
_cell_length_b 4.2383
_cell_length_c 8.4425
_cell_angle_alpha 90.00
_cell_angle_beta 103.09
_cell_angle_gamma 90.00
_symmetry_space_group_name_H-M 'C 1 2/m 1'
_symmetry_Int_Tables_number 12
_symmetry_space_group_name_Hall '-C 2y'
loop_
_atom_site_label
_atom_site_fract_x
_atom_site_fract_y
_atom_site_fract_z
Nd1 0.0096 0.0000 0.2438
Nd2 0.1655 0.5000 0.1043
Nd3 0.1725 0.5000 0.5710
Si1 0.1667 0.0000 0.3337
Se1 0.0000 0.5000 0.0000
Cl1 0.0000 0.5000 0.5000
Cl2 0.1670 0.0000 0.8346

---

Entry 3:
# NdFeAs2, optimized geometry, DFT PBE
# ΔH_f (0 K) = 0.10 eV per atom
# Crystal system = trigonal
# Calculated volume = 379 Å³/cell
data_NdFeAs2
_chemical_formula_sum 'Nd3 Fe3 As6'
_cell_length_a 4.3034
_cell_length_b 4.3034
_cell_length_c 23.6536
_cell_angle_alpha 90.00
_cell_angle_beta 90.00
_cell_angle_gamma 120.00
_symmetry_space_group_name_H-M 'R -3 m'
_symmetry_Int_Tables_number 166
_symmetry_space_group_name_Hall '-R 3 2"'
loop_
_atom_site_label
_atom_site_fract_x
_atom_site_fract_y
_atom_site_fract_z
Nd1 0.0000 0.0000 0.0000
Fe1 0.0000 0.0000 0.5000
As1 0.0000 0.0000 0.4032

---

Entry 4:
# Na2Ti9O19, optimized geometry, DFT PBE
# Crystal system = monoclinic
# Offset from the most stable computed form = 0.0000 eV per atom
# Energy relative to the elements, uncorrected = -2.903 eV per atom
# Calculated volume = 718 Å³/cell
data_Na2Ti9O19
_chemical_formula_sum 'Na4 Ti18 O38'
_cell_length_a 12.2763
_cell_length_b 3.8085
_cell_length_c 15.8266
_cell_angle_alpha 90.00
_cell_angle_beta 103.93
_cell_angle_gamma 90.00
_symmetry_space_group_name_H-M 'C 1 2/m 1'
_symmetry_Int_Tables_number 12
_symmetry_space_group_name_Hall '-C 2y'
loop_
_atom_site_label
_atom_site_fract_x
_atom_site_fract_y
_atom_site_fract_z
Na1 0.1700 0.0000 0.4611
Ti1 0.0000 0.5000 0.5000
Ti2 0.0808 0.5000 0.2917
Ti3 0.1098 0.5000 0.8803
Ti4 0.1874 0.5000 0.1165
Ti5 0.2122 0.5000 0.7021
O1 0.0000 0.0000 0.5000
O2 0.0479 0.5000 0.1524
O3 0.0776 0.5000 0.7425
O4 0.0865 0.5000 0.4084
O5 0.1223 0.0000 0.2954
O6 0.1338 0.5000 0.0017
O7 0.1464 0.0000 0.8791
O8 0.1560 0.5000 0.5863
O9 0.2257 0.0000 0.1423
O10 0.2470 0.5000 0.2727

---

Entry 5:
# Be3PdRh, optimized geometry, DFT PBE
# ΔH_f (0 K) = 0.27 eV per atom
# Crystal system = cubic
# Offset from the most stable computed form = 0.0000 eV per atom
# Calculated volume = 68 Å³/cell
data_Be3PdRh
_chemical_formula_sum 'Be3 Pd1 Rh1'
_cell_length_a 4.0854
_cell_length_b 4.0854
_cell_length_c 4.0854
_cell_angle_alpha 90.00
_cell_angle_beta 90.00
_cell_angle_gamma 90.00
_symmetry_space_group_name_H-M 'P m -3 m'
_symmetry_Int_Tables_number 221
_symmetry_space_group_name_Hall '-P 4 2 3'
loop_
_atom_site_label
_atom_site_fract_x
_atom_site_fract_y
_atom_site_fract_z
Be1 0.0000 0.0000 0.5000
Pd1 0.5000 0.5000 0.5000
Rh1 0.0000 0.0000 0.0000

---

Entry 6:
# PmTeAs, optimized geometry, DFT PBE
# Crystal system = monoclinic
# Offset from the most stable computed form = 0.0000 eV per atom
# Energy relative to the elements, uncorrected = -1.187 eV per atom
# Calculated volume = 163 Å³/cell
data_PmTeAs
_chemical_formula_sum 'Pm2 Te2 As2'
_cell_length_a 4.2181
_cell_length_b 4.1368
_cell_length_c 9.3217
_cell_angle_alpha 90.00
_cell_angle_beta 91.30
_cell_angle_gamma 90.00
_symmetry_space_group_name_H-M 'P 1 21/m 1'
_symmetry_Int_Tables_number 11
_symmetry_space_group_name_Hall '-P 2yb'
loop_
_atom_site_label
_atom_site_fract_x
_atom_site_fract_y
_atom_site_fract_z
Pm1 0.2346 0.2500 0.2582
Te1 0.2565 0.2500 0.6223
As1 0.3037 0.7500 0.9942

---

Entry 7:
# Sm3Dy2NpN6, optimized geometry, DFT PBE
# Crystal system = monoclinic
# Energy relative to the elements, uncorrected = -1.518 eV per atom
# Calculated volume = 367 Å³/cell
data_Sm3Dy2NpN6
_chemical_formula_sum 'Sm6 Dy4 Np2 N12'
_cell_length_a 6.0686
_cell_length_b 10.5141
_cell_length_c 6.0942
_cell_angle_alpha 90.00
_cell_angle_beta 109.39
_cell_angle_gamma 90.00
_symmetry_space_group_name_H-M 'C 1 2/m 1'
_symmetry_Int_Tables_number 12
_symmetry_space_group_name_Hall '-C 2y'
loop_
_atom_site_label
_atom_site_fract_x
_atom_site_fract_y
_atom_site_fract_z
Sm1 0.0000 0.0000 0.0000
Sm2 0.0000 0.3319 0.0000
Dy1 0.0000 0.1665 0.5000
Np1 0.0000 0.5000 0.5000
N1 0.2347 0.3421 0.7302
N2 0.2385 0.5000 0.2692

---

Entry 8:
# CeAsH, optimized geometry, DFT PBE
# Crystal system = tetragonal
# Offset from the most stable computed form = 0.4951 eV per atom
# Calculated volume = 109 Å³/cell
data_CeAsH
_chemical_formula_sum 'Ce2 As2 H2'
_cell_length_a 3.2484
_cell_length_b 3.2484
_cell_length_c 10.3238
_cell_angle_alpha 90.00
_cell_angle_beta 90.00
_cell_angle_gamma 90.00
_symmetry_space_group_name_H-M 'I 4 m m'
_symmetry_Int_Tables_number 107
_symmetry_space_group_name_Hall 'I 4 -2'
loop_
_atom_site_label
_atom_site_fract_x
_atom_site_fract_y
_atom_site_fract_z
Ce1 0.0000 0.0000 0.0000
As1 0.0000 0.0000 0.2960
H1 0.0000 0.0000 0.5696

---

Entry 9:
# SbTe2IrAu, optimized geometry, DFT PBE
# Crystal system = tetragonal
# Offset from the most stable computed form = 0.0000 eV per atom
# Energy relative to the elements, uncorrected = 0.635 eV per atom
# Calculated volume = 143 Å³/cell
data_SbTe2IrAu
_chemical_formula_sum 'Sb1 Te2 Ir1 Au1'
_cell_length_a 5.3671
_cell_length_b 5.3671
_cell_length_c 4.9782
_cell_angle_alpha 90.00
_cell_angle_beta 90.00
_cell_angle_gamma 90.00
_symmetry_space_group_name_H-M 'P 4/m m m'
_symmetry_Int_Tables_number 123
_symmetry_space_group_name_Hall '-P 4 2'
loop_
_atom_site_label
_atom_site_fract_x
_atom_site_fract_y
_atom_site_fract_z
Sb1 0.0000 0.0000 0.0000
Te1 0.0000 0.5000 0.5000
Ir1 0.0000 0.0000 0.5000
Au1 0.5000 0.5000 0.0000

---

Entry 10:
# Ca2CoPtBr, optimized geometry, DFT PBE
# Crystal system = tetragonal
# Energy relative to the elements, uncorrected = 0.317 eV per atom
# Calculated volume = 143 Å³/cell
data_Ca2CoPtBr
_chemical_formula_sum 'Ca2 Co1 Pt1 Br1'
_cell_length_a 5.4193
_cell_length_b 5.4193
_cell_length_c 4.8605
_cell_angle_alpha 90.00
_cell_angle_beta 90.00
_cell_angle_gamma 90.00
_symmetry_space_group_name_H-M 'P 4/m m m'
_symmetry_Int_Tables_number 123
_symmetry_space_group_name_Hall '-P 4 2'
loop_
_atom_site_label
_atom_site_fract_x
_atom_site_fract_y
_atom_site_fract_z
Ca1 0.0000 0.5000 0.0000
Co1 0.0000 0.0000 0.5000
Pt1 0.5000 0.5000 0.5000
Br1 0.5000 0.5000 0.0000

---

Entry 11:
# Tl2PdBr4Cl2, optimized geometry, DFT PBE
# Crystal system = monoclinic
# Energy relative to the elements, uncorrected = -0.589 eV per atom
# Calculated volume = 549 Å³/cell
data_Tl2PdBr4Cl2
_chemical_formula_sum 'Tl4 Pd2 Br8 Cl4'
_cell_length_a 12.5793
_cell_length_b 7.2795
_cell_length_c 7.3977
_cell_angle_alpha 90.00
_cell_angle_beta 125.86
_cell_angle_gamma 90.00
_symmetry_space_group_name_H-M 'C 1 2/m 1'
_symmetry_Int_Tables_number 12
_symmetry_space_group_name_Hall '-C 2y'
loop_
_atom_site_label
_atom_site_fract_x
_atom_site_fract_y
_atom_site_fract_z
Tl1 0.2485 0.0000 0.2650
Pd1 0.0000 0.0000 0.5000
Br1 0.0162 0.2426 0.7553
Cl1 0.2295 0.0000 0.6976

---

Entry 12:
# Li2Ac2SmTl2, optimized geometry, DFT PBE
# ΔH_f (0 K) = -0.20 eV per atom
# Crystal system = trigonal
# Calculated volume = 638 Å³/cell
data_Li2Ac2SmTl2
_chemical_formula_sum 'Li6 Ac6 Sm3 Tl6'
_cell_length_a 4.9641
_cell_length_b 4.9641
_cell_length_c 29.8793
_cell_angle_alpha 90.00
_cell_angle_beta 90.00
_cell_angle_gamma 120.00
_symmetry_space_group_name_H-M 'R -3 m'
_symmetry_Int_Tables_number 166
_symmetry_space_group_name_Hall '-R 3 2"'
loop_
_atom_site_label
_atom_site_fract_x
_atom_site_fract_y
_atom_site_fract_z
Li1 0.0000 0.0000 0.1170
Ac1 0.0000 0.0000 0.3774
Sm1 0.0000 0.0000 0.5000
Tl1 0.0000 0.0000 0.2264

---

Entry 13:
# Tm7Tl4Sn, optimized geometry, DFT PBE
# ΔH_f (0 K) = -0.08 eV per atom
# Crystal system = monoclinic
# Calculated volume = 715 Å³/cell
data_Tm7Tl4Sn
_chemical_formula_sum 'Tm14 Tl8 Sn2'
_cell_length_a 14.3653
_cell_length_b 5.6670
_cell_length_c 11.0777
_cell_angle_alpha 90.00
_cell_angle_beta 127.50
_cell_angle_gamma 90.00
_symmetry_space_group_name_H-M 'C 1 2/m 1'
_symmetry_Int_Tables_number 12
_symmetry_space_group_name_Hall '-C 2y'
loop_
_atom_site_label
_atom_site_fract_x
_atom_site_fract_y
_atom_site_fract_z
Tm1 0.0000 0.0000 0.0000
Tm2 0.0718 0.5000 0.3173
Tm3 0.1545 0.0000 0.5834
Tm4 0.2140 0.5000 0.8725
Tl1 0.0693 0.0000 0.7747
Tl2 0.2144 0.0000 0.3417
Sn1 0.0000 0.5000 0.0000